KMnNF2 | GGA+U | relaxed

For the magnetization, the calculation gives 3.0 μB/f.u. The raw total energy is -27.7 eV for the cell shown. The relative energy among the computed polymorphs is 0.000 eV per atom.

Structure (POSCAR):
```
KMnNF2
1.0
4.322 0.000 0.000
0.000 4.322 0.000
0.000 0.000 3.787
K Mn N F
1 1 1 2
direct
0.000 0.000 0.000
0.500 0.500 0.500
0.500 0.500 0.000
0.000 0.500 0.500
0.500 0.000 0.500
```